No. 1
NaEuGaHg: relaxed, PBE.

Calculated values
Space group: F-43m
Uncorrected energy (eV/cell): -16.07
Energy of formation from the pure elements (eV/atom): -0.2869

Unit cell a=5.2722 b=5.2722 c=5.2722 alpha=60.00 beta=60.00 gamma=60.00
Last column: nearest neighbours and their distance in Å.
Positions (direct):
Eu (0.5000, 0.5000, 0.5000)  4 Hg 3.23, 4 Ga 3.23
Hg (0.7500, 0.7500, 0.7500)  4 Eu 3.23, 4 Na 3.23
Na (0.0000, 0.0000, 0.0000)  4 Ga 3.23, 4 Hg 3.23
Ga (0.2500, 0.2500, 0.2500)  4 Na 3.23, 4 Eu 3.23

=====

No. 2
EuGaHgPb: relaxed, PBE.

Calculated values
Space group: F-43m
Uncorrected energy (eV/cell): -18.53
Energy of formation from the pure elements (eV/atom): -0.3047

Unit cell a=5.3348 b=5.3348 c=5.3348 alpha=60.00 beta=60.00 gamma=60.00
Last column: nearest neighbours and their distance in Å.
Positions (direct):
Eu (0.0000, 0.0000, 0.0000)  4 Ga 3.27, 4 Hg 3.27
Hg (0.7500, 0.7500, 0.7500)  4 Pb 3.27, 4 Eu 3.27
Ga (0.2500, 0.2500, 0.2500)  4 Eu 3.27, 4 Pb 3.27
Pb (0.5000, 0.5000, 0.5000)  4 Hg 3.27, 4 Ga 3.27

=====

No. 3
PmEuGaHg: relaxed, PBE.

Calculated values
Space group: F-43m
Uncorrected energy (eV/cell): -20.32
Energy of formation from the pure elements (eV/atom): -0.4905

Unit cell a=5.3622 b=5.3622 c=5.3622 alpha=60.00 beta=60.00 gamma=60.00
Last column: nearest neighbours and their distance in Å.
Positions (direct):
Pm (0.0000, 0.0000, 0.0000)  4 Hg 3.28, 4 Ga 3.28
Hg (0.7500, 0.7500, 0.7500)  4 Eu 3.28, 4 Pm 3.28
Ga (0.2500, 0.2500, 0.2500)  4 Pm 3.28, 4 Eu 3.28
Eu (0.5000, 0.5000, 0.5000)  4 Ga 3.28, 4 Hg 3.28

=====

No. 4
PrEuGaHg: relaxed, PBE.

Calculated values
Space group: F-43m
Uncorrected energy (eV/cell): -20.35
Energy of formation from the pure elements (eV/atom): -0.4906

Unit cell a=5.4022 b=5.4022 c=5.4022 alpha=60.00 beta=60.00 gamma=60.00
Last column: nearest neighbours and their distance in Å.
Positions (direct):
Pr (0.5000, 0.5000, 0.5000)  4 Hg 3.31, 4 Ga 3.31
Eu (0.0000, 0.0000, 0.0000)  4 Hg 3.31, 4 Ga 3.31
Hg (0.7500, 0.7500, 0.7500)  4 Pr 3.31, 4 Eu 3.31
Ga (0.2500, 0.2500, 0.2500)  4 Pr 3.31, 4 Eu 3.31

=====

No. 5
EuGaHgSb: relaxed, PBE.

Calculated values
Uncorrected formation energy (meV/atom): -383
Space group: F-43m
Uncorrected energy (eV/cell): -19.26

Unit cell a=5.3935 b=5.3935 c=5.3935 alpha=60.00 beta=60.00 gamma=60.00
Last column: nearest neighbours and their distance in Å.
Positions (direct):
Hg (0.0000, 0.0000, 0.0000)  4 Eu 3.30, 4 Ga 3.30
Ga (0.2500, 0.2500, 0.2500)  4 Hg 3.30, 4 Sb 3.30
Eu (0.7500, 0.7500, 0.7500)  4 Hg 3.30, 4 Sb 3.30
Sb (0.5000, 0.5000, 0.5000)  4 Ga 3.30, 4 Eu 3.30

=====

No. 6
SmEuGaHg: relaxed, PBE.

Calculated values
Space group: F-43m
Uncorrected energy (eV/cell): -20.28
Energy of formation from the pure elements (eV/atom): -0.4885

Unit cell a=5.3481 b=5.3481 c=5.3481 alpha=60.00 beta=60.00 gamma=60.00
Last column: nearest neighbours and their distance in Å.
Positions (direct):
Eu (0.0000, 0.0000, 0.0000)  4 Ga 3.28, 4 Hg 3.28
Hg (0.7500, 0.7500, 0.7500)  4 Eu 3.28, 4 Sm 3.28
Ga (0.2500, 0.2500, 0.2500)  4 Sm 3.28, 4 Eu 3.28
Sm (0.5000, 0.5000, 0.5000)  4 Hg 3.28, 4 Ga 3.28

=====

No. 7
EuGaSnHg: relaxed, PBE.

Calculated values
Space group: F-43m
Uncorrected energy (eV/cell): -18.97
Energy of formation from the pure elements (eV/atom): -0.3411

Unit cell a=5.2520 b=5.2520 c=5.2520 alpha=60.00 beta=60.00 gamma=60.00
Last column: nearest neighbours and their distance in Å.
Positions (direct):
Eu (0.0000, 0.0000, 0.0000)  4 Ga 3.22, 4 Hg 3.22
Sn (0.5000, 0.5000, 0.5000)  4 Hg 3.22, 4 Ga 3.22
Ga (0.2500, 0.2500, 0.2500)  4 Sn 3.22, 4 Eu 3.22
Hg (0.7500, 0.7500, 0.7500)  4 Eu 3.22, 4 Sn 3.22

=====

No. 8
EuTmGaHg: relaxed, PBE.

Calculated values
Space group: F-43m
Uncorrected energy (eV/cell): -19.97
Energy of formation from the pure elements (eV/atom): -0.4736

Unit cell a=5.2563 b=5.2563 c=5.2563 alpha=60.00 beta=60.00 gamma=60.00
Last column: nearest neighbours and their distance in Å.
Positions (direct):
Tm (0.5000, 0.5000, 0.5000)  4 Hg 3.22, 4 Ga 3.22
Ga (0.2500, 0.2500, 0.2500)  4 Eu 3.22, 4 Tm 3.22
Eu (0.0000, 0.0000, 0.0000)  4 Hg 3.22, 4 Ga 3.22
Hg (0.7500, 0.7500, 0.7500)  4 Tm 3.22, 4 Eu 3.22